A plane-wave DFT calculation with PBE was carried out for crystalline KNiI2 at its relaxed geometry.

```
data_KNiI2
_symmetry_space_group_name_H-M 'F m -3 m'
_symmetry_Int_Tables_number 225
_symmetry_space_group_name_Hall '-F 4 2 3'
_cell_length_a 7.918
_cell_length_b 7.918
_cell_length_c 7.918
_cell_angle_alpha 90.00
_cell_angle_beta 90.00
_cell_angle_gamma 90.00
loop_
_atom_site_label
_atom_site_fract_x
_atom_site_fract_y
_atom_site_fract_z
K1 0.000 0.000 0.000
Ni1 0.000 0.000 0.500
I1 0.250 0.250 0.250
```

## Properties
Final energy, eV per atom: -2.540
Formation energy without anion corrections, eV per atom: -0.045
Volume, Å³ per atom: 31.025
ΔE to the lowest computed polymorph, meV/atom: 528
Total magnetization, μB/f.u.: 1.000